[1]
A plane-wave DFT calculation with GGA-PBEsol was carried out for an optimized crystal structure of LiTcOs2.

a b c (Å): 2.6349 2.6349 9.0572
angles (deg): 90.00 90.00 116.57
Positions (direct):
Os 0.0000 0.0000 0.7467
Li 0.5000 0.5000 0.0000
Tc 0.5000 0.5000 0.5000
Os 0.0000 0.0000 0.2533

DFT formation energy   0.374 eV per atom
Magnetic moment   0.00 μB per cell
Volume   56 Å³ per cell
Polymorph energy (0 for the lowest one)   95 meV per atom
Space-group type   Cmmm, No. 65


[2]
A plane-wave DFT calculation with GGA-PBEsol was carried out for an optimized crystal structure of Li2TeOs.

a b c (Å): 4.1121 4.5362 4.1121
angles (deg): 63.05 90.00 116.95
Positions (direct):
Li 0.2500 0.5000 0.2500
Te 0.7500 0.5000 0.7500
Li 0.5000 0.0000 0.5000
Os 0.0000 0.0000 0.0000

Magnetic moment   0.00 μB per cell
Volume   59 Å³ per cell
Formation energy (no corrections)   0.02 eV per atom
Space-group type   I-4m2, No. 119


[3]
A plane-wave DFT calculation with GGA-PBEsol was carried out for an optimized crystal structure of LiTe2Os.

a b c (Å): 3.2631 3.2631 7.4629
angles (deg): 90.00 90.00 90.00
Positions (direct):
Te 0.5000 0.5000 0.3426
Te 0.0000 0.0000 0.9091
Os 0.5000 0.5000 0.7189
Li 0.0000 0.0000 0.5294

Magnetic moment   0.00 μB per cell
Volume   79 Å³ per cell
Formation energy (no corrections)   0.02 eV per atom
Space-group type   P4mm, No. 99


[4]
A plane-wave DFT calculation with GGA-PBEsol was carried out for an optimized crystal structure of LiTe2Os.

a b c (Å): 3.2842 4.7667 4.7636
angles (deg): 90.00 90.00 90.00
Positions (direct):
Te 0.0000 0.0000 0.0000
Te 0.0000 0.5000 0.5000
Os 0.5000 0.0000 0.5000
Li 0.5000 0.5000 0.0000

Magnetic moment   0.00 μB per cell
Volume   75 Å³ per cell
Formation energy (no corrections)   0.24 eV per atom
Space-group type   P4/mmm, No. 123


[5]
A plane-wave DFT calculation with GGA-PBEsol was carried out for an optimized crystal structure of LiTe2Os.

a b c (Å): 3.1605 3.1605 9.4234
angles (deg): 80.35 80.35 60.00
Positions (direct):
Te 0.9093 0.9093 0.2722
Os 0.0000 0.0000 0.0000
Te 0.0907 0.0907 0.7278
Li 0.5000 0.5000 0.5000

Magnetic moment   0.00 μB per cell
Volume   80 Å³ per cell
Formation energy (no corrections)   0.44 eV per atom
Space-group type   R-3m, No. 166


[6]
A plane-wave DFT calculation with GGA-PBEsol was carried out for an optimized crystal structure of LiTe2Os.

a b c (Å): 3.1818 3.9920 7.0546
angles (deg): 106.44 103.03 90.00
Positions (direct):
Te 0.9490 0.9490 0.8979
Li 0.5534 0.5534 0.1068
Te 0.7119 0.2119 0.4239
Os 0.2857 0.7857 0.5714

Magnetic moment   0.00 μB per cell
Volume   84 Å³ per cell
Formation energy (no corrections)   0.08 eV per atom
Space-group type   Imm2, No. 44


[7]
A plane-wave DFT calculation with GGA-PBEsol was carried out for an optimized crystal structure of LiTe2Os.

a b c (Å): 3.2673 3.2673 7.3083
angles (deg): 90.00 90.00 90.05
Positions (direct):
Os 0.5000 0.5000 0.0000
Te 0.0000 0.0000 0.2271
Te 0.0000 0.0000 0.7729
Li 0.5000 0.5000 0.5000

Magnetic moment   0.00 μB per cell
Volume   78 Å³ per cell
Formation energy (no corrections)   0.21 eV per atom
Space-group type   P4/mmm, No. 123


[8]
A plane-wave DFT calculation with GGA-PBEsol was carried out for an optimized crystal structure of Li2TeOs.

a b c (Å): 3.1690 3.6158 5.6683
angles (deg): 90.00 90.00 90.00
Positions (direct):
Li 0.5000 0.5000 0.2492
Li 0.0000 0.0000 0.0187
Os 0.0000 0.0000 0.5106
Te 0.5000 0.5000 0.7215

Magnetic moment   0.00 μB per cell
Volume   65 Å³ per cell
Formation energy (no corrections)   0.12 eV per atom
Space-group type   Pmm2, No. 25